[1]
First-principles (PBE-GGA) data for crystalline Sb2Ir at its relaxed geometry, as listed in Alexandria via LeMat-Bulk.

```
data_Sb2Ir
_symmetry_space_group_name_H-M 'C m c m'
_symmetry_Int_Tables_number 63
_symmetry_space_group_name_Hall '-C 2c 2'
_cell_length_a 3.932
_cell_length_b 15.946
_cell_length_c 5.018
_cell_angle_alpha 90.00
_cell_angle_beta 90.00
_cell_angle_gamma 90.00
loop_
_atom_site_label
_atom_site_fract_x
_atom_site_fract_y
_atom_site_fract_z
Sb1 0.000 0.054 0.250
Sb2 0.000 0.283 0.250
Ir1 0.000 0.337 0.750
```

formation energy without anion corrections = -0.130 eV per atom
N(E_F) = 5.1 states/eV/cell
VASP energy = -5.83 eV/atom
crystal system = orthorhombic

***

[2]
First-principles (PBE-GGA) data for crystalline SbIr5 at its relaxed geometry, as listed in Alexandria via LeMat-Bulk.

```
data_SbIr5
_symmetry_space_group_name_H-M 'A m m 2'
_symmetry_Int_Tables_number 38
_cell_length_a 4.501
_cell_length_b 2.860
_cell_length_c 14.541
_cell_angle_alpha 90.00
_cell_angle_beta 90.00
_cell_angle_gamma 90.00
loop_
_symmetry_equiv_pos_as_xyz
'x,y,z'
'-x,-y,z'
'-x,y,z'
'x,-y,z'
'x,y+1/2,z+1/2'
'-x,-y+1/2,z+1/2'
'-x,y+1/2,z+1/2'
'x,-y+1/2,z+1/2'
loop_
_atom_site_label
_atom_site_fract_x
_atom_site_fract_y
_atom_site_fract_z
Sb1 0.000 0.000 0.000
Ir1 0.000 0.000 0.327
Ir2 0.000 0.000 0.668
Ir3 0.500 0.000 0.119
Ir4 0.500 0.000 0.443
Ir5 0.500 0.000 0.782
```

formation energy without anion corrections = 0.242 eV per atom
N(E_F) = 13.4 states/eV/cell
VASP energy = -7.83 eV/atom
crystal system = orthorhombic

***

[3]
First-principles (PBE-GGA) data for crystalline SbIr2 at its relaxed geometry, as listed in Alexandria via LeMat-Bulk.

```
data_SbIr2
_symmetry_space_group_name_H-M 'F m -3 m'
_symmetry_Int_Tables_number 225
_symmetry_space_group_name_Hall '-F 4 2 3'
_cell_length_a 6.071
_cell_length_b 6.071
_cell_length_c 6.071
_cell_angle_alpha 90.00
_cell_angle_beta 90.00
_cell_angle_gamma 90.00
loop_
_atom_site_label
_atom_site_fract_x
_atom_site_fract_y
_atom_site_fract_z
Sb1 0.000 0.000 0.000
Ir1 0.250 0.250 0.250
```

formation energy without anion corrections = 0.142 eV per atom
N(E_F) = 4.7 states/eV/cell
VASP energy = -7.14 eV/atom
crystal system = cubic

***

What is the VASP energy in the third record?
-7.14 eV/atom

***

Look up the formation energy without anion corrections of the first one.
-0.130 eV per atom

***

What is the formation energy without anion corrections in the first record?
-0.130 eV per atom